Record 1
ZnTc2As: optimized geometry, PBEsol.

extended XYZ file:
```
4
Lattice="-1.495 1.988 4.853 1.495 -1.988 4.853 1.495 1.988 -4.853" Properties=species:S:1:pos:R:3 pbc="T T T"
Zn 0.000 0.000 0.000
Tc 0.000 0.000 4.356
Tc 0.000 1.988 1.865
As 1.495 0.000 2.406
```

Results
The space-group type is Imm2, No. 44. The distance to the lowest polymorph of the same formula is 0.0441 eV/atom. The calculation puts the total energy at -28.75 eV/cell.

---

Record 2
ZnTc2As2: optimized geometry, PBEsol.

extended XYZ file:
```
5
Lattice="-2.150 2.150 4.532 2.150 -2.150 4.532 2.150 2.150 -4.532" Properties=species:S:1:pos:R:3 pbc="T T T"
Zn 0.000 0.000 0.000
Tc 2.150 0.000 2.266
Tc 0.000 2.150 2.266
As 0.000 0.000 3.343
As 0.000 0.000 5.720
```

Results
The space-group type is I4/mmm, No. 139. The calculation puts the total energy at -33.92 eV/cell.

---

Record 3
ZnTc2As: optimized geometry, PBEsol.

extended XYZ file:
```
4
Lattice="3.004 0.000 0.000 0.000 3.004 0.000 0.000 0.000 6.128" Properties=species:S:1:pos:R:3 pbc="T T T"
Zn 0.000 0.000 0.000
Tc 1.502 1.502 1.639
Tc 1.502 1.502 4.489
As 0.000 0.000 3.064
```

Results
The space-group type is P4/mmm, No. 123. The distance to the lowest polymorph of the same formula is 0.0000 eV/atom. The calculation puts the total energy at -28.92 eV/cell.

---

Record 4
ZnTc2As: optimized geometry, PBEsol.

extended XYZ file:
```
4
Lattice="0.000 3.062 3.062 3.062 0.000 3.062 3.062 3.062 0.000" Properties=species:S:1:pos:R:3 pbc="T T T"
Zn 0.000 0.000 0.000
Tc 3.062 3.062 3.062
Tc 4.593 4.593 4.593
As 1.531 1.531 1.531
```

Results
The space-group type is F-43m, No. 216. The distance to the lowest polymorph of the same formula is 0.1806 eV/atom. The calculation puts the total energy at -28.20 eV/cell.

---

Record 5
Zr2TcAs: optimized geometry, PBEsol.

extended XYZ file:
```
4
Lattice="4.174 0.000 0.000 0.000 1.726 5.027 0.000 -1.726 5.027" Properties=species:S:1:pos:R:3 pbc="T T T"
Zr 0.000 0.000 0.000
Zr 2.087 0.000 2.899
Tc 2.087 0.000 5.542
As 0.000 0.000 7.258
```

Results
The space-group type is Amm2, No. 38. The calculation puts the total energy at -37.40 eV/cell.

---

Record 6
ZrTc2As2: optimized geometry, PBEsol.

extended XYZ file:
```
5
Lattice="-2.226 2.226 4.351 2.226 -2.226 4.351 2.226 2.226 -4.351" Properties=species:S:1:pos:R:3 pbc="T T T"
Zr 0.000 0.000 0.000
Tc 0.000 0.000 3.228
Tc 0.000 0.000 5.474
As 2.226 0.000 2.176
As 0.000 2.226 2.176
```

Results
The space-group type is I4/mmm, No. 139. The distance to the lowest polymorph of the same formula is 0.1693 eV/atom. The calculation puts the total energy at -42.74 eV/cell.